Material: CoNiPt2
Method: DFT, SCAN
State: PBEsol geometry

Computed properties:
Fermi-level density of states (states/eV/atom): 0.40
Energy relative to the elements (eV per atom): -0.144
Spin magnetization (μB/cell): 3.3
Energy (eV/atom): -43.6098
Space group: P2/m, No. 10

a = 2.6695 Å, b = 4.4882 Å, c = 4.6405 Å
α = 110.38°, β = 90.00°, γ = 90.00°
Closest atoms and distances in Å follow each position.
Atoms (fractional coordinates):
Pt1 0.5000 0.0000 0.5000  2 Co 2.61, 4 Ni 2.61, 6 Pt 2.67-2.68
Pt2 0.0000 0.0000 0.0000  2 Ni 2.61, 4 Co 2.61, 6 Pt 2.67-2.68
Ni1 0.0000 0.5000 0.5000  6 Pt 2.61, 2 Ni 2.67, 4 Co 2.68
Co1 0.5000 0.5000 0.0000  6 Pt 2.61, 2 Co 2.67, 4 Ni 2.68